Cu2RuPb (PBE-GGA, optimized geometry); total magnetic moment = 0.00 μB per cell; calculated formation energy = 0.580 eV/atom
1.0
1.513 0.874 8.453
-1.513 0.874 8.453
0.000 -1.747 8.453
Cu Ru Pb
2 1 1
Direct
0.000 0.000 0.000
0.263 0.263 0.263
0.520 0.520 0.520
0.762 0.762 0.762

Cu2RuPb (PBE-GGA, optimized geometry); total magnetic moment = 0.00 μB per cell; calculated formation energy = 0.408 eV/atom
1.0
0.000 3.158 3.158
3.158 0.000 3.158
3.158 3.158 0.000
Cu Ru Pb
2 1 1
Direct
0.000 0.000 0.000
0.250 0.250 0.250
0.750 0.750 0.750
0.500 0.500 0.500

CuRuPb2 (PBE-GGA, optimized geometry); total magnetic moment = 0.00 μB per cell; calculated formation energy = 0.437 eV/atom; relative energy among the computed polymorphs = 0.142 eV per atom
1.0
3.483 0.000 0.000
0.000 4.110 0.000
0.000 0.000 5.646
Cu Ru Pb
1 1 2
Direct
0.000 0.000 0.000
0.500 0.500 0.696
0.000 0.000 0.530
0.500 0.500 0.177

Cu2RuPb (PBE-GGA, optimized geometry); total magnetic moment = 0.00 μB per cell; calculated formation energy = 0.371 eV/atom
1.0
-2.014 2.014 3.849
2.014 -2.014 3.849
2.014 2.014 -3.849
Cu Ru Pb
2 1 1
Direct
0.000 0.000 0.000
0.750 0.250 0.500
0.500 0.500 0.000
0.250 0.750 0.500

Cu2RuPb (PBE-GGA, optimized geometry); total magnetic moment = 0.00 μB per cell; calculated formation energy = 0.442 eV/atom
1.0
-1.952 1.952 4.142
1.952 -1.952 4.142
1.952 1.952 -4.142
Cu Ru Pb
2 1 1
Direct
0.250 0.750 0.500
0.750 0.250 0.500
0.000 0.000 0.000
0.500 0.500 0.000

CuRuPb4 (PBE-GGA, optimized geometry); total magnetic moment = 1.62 μB per cell; calculated formation energy = 1.042 eV/atom
1.0
0.000 4.406 4.406
4.406 0.000 4.406
4.406 4.406 0.000
Cu Ru Pb
1 1 4
Direct
0.000 0.000 0.000
0.250 0.250 0.250
0.126 0.625 0.625
0.625 0.126 0.625
0.625 0.625 0.126
0.625 0.625 0.625

CuRuPb2 (PBE-GGA, optimized geometry); total magnetic moment = 0.00 μB per cell; calculated formation energy = 0.474 eV/atom; relative energy among the computed polymorphs = 0.179 eV per atom
1.0
3.260 0.000 0.000
0.000 4.776 0.000
0.000 0.000 5.075
Cu Ru Pb
1 1 2
Direct
0.000 0.000 0.000
0.000 0.500 0.500
0.500 0.000 0.500
0.500 0.500 0.000

CuRuPb2 (PBE-GGA, optimized geometry); total magnetic moment = 0.00 μB per cell; calculated formation energy = 0.331 eV/atom; relative energy among the computed polymorphs = 0.037 eV per atom
1.0
3.322 0.000 0.000
0.000 3.322 0.000
0.000 0.000 7.840
Cu Ru Pb
1 1 2
Direct
0.000 0.000 0.000
0.500 0.500 0.841
0.000 0.000 0.621
0.500 0.500 0.215

CuRuPb2 (PBE-GGA, optimized geometry); total magnetic moment = 0.00 μB per cell; calculated formation energy = 0.392 eV/atom; relative energy among the computed polymorphs = 0.098 eV per atom
1.0
-1.588 2.236 6.099
1.588 -2.236 6.099
1.588 2.236 -6.099
Cu Ru Pb
1 1 2
Direct
0.000 0.000 0.000
0.826 0.326 0.500
0.329 0.829 0.500
0.609 0.609 0.000

Cu2RuPb (PBE-GGA, optimized geometry); total magnetic moment = 0.00 μB per cell; calculated formation energy = 0.590 eV/atom
1.0
-1.920 1.920 9.440
1.920 -1.920 9.440
1.920 1.920 -9.440
Cu Ru Pb
4 2 2
Direct
0.083 0.625 0.958
0.375 0.333 0.458
0.667 0.125 0.042
0.875 0.917 0.542
0.000 0.000 0.000
0.750 0.250 0.500
0.250 0.750 0.500
0.500 0.500 0.000

CuRuPb2 (PBE-GGA, optimized geometry); total magnetic moment = 0.00 μB per cell; calculated formation energy = 0.463 eV/atom; relative energy among the computed polymorphs = 0.169 eV per atom
1.0
1.691 0.976 8.341
-1.691 0.976 8.341
0.000 -1.952 8.341
Cu Ru Pb
1 1 2
Direct
0.000 0.000 0.000
0.500 0.500 0.500
0.248 0.248 0.248
0.752 0.752 0.752

Cu4RuPb (PBE-GGA, optimized geometry); total magnetic moment = 0.00 μB per cell; calculated formation energy = 0.327 eV/atom
1.0
0.000 3.503 3.503
3.503 0.000 3.503
3.503 3.503 0.000
Cu Ru Pb
4 1 1
Direct
0.124 0.124 0.124
0.124 0.124 0.628
0.124 0.628 0.124
0.628 0.124 0.124
0.750 0.750 0.750
0.500 0.500 0.500

CuRu3Pb (PBE-GGA, optimized geometry); total magnetic moment = 3.87 μB per cell; calculated formation energy = 1.388 eV/atom; relative energy among the computed polymorphs = 0.000 eV per atom
1.0
4.549 0.000 0.000
0.000 4.549 0.000
0.000 0.000 4.549
Cu Ru Pb
1 3 1
Direct
0.000 0.000 0.000
0.000 0.000 0.500
0.000 0.500 0.000
0.500 0.000 0.000
0.500 0.500 0.500

CuRuPb2 (PBE-GGA, optimized geometry); total magnetic moment = 0.71 μB per cell; calculated formation energy = 0.456 eV/atom; relative energy among the computed polymorphs = 0.162 eV per atom
1.0
3.511 0.000 0.000
0.000 3.511 0.000
0.000 0.000 6.456
Cu Ru Pb
1 1 2
Direct
0.000 0.000 0.000
0.000 0.000 0.500
0.500 0.500 0.253
0.500 0.500 0.747

CuRuPb2 (PBE-GGA, optimized geometry); total magnetic moment = 0.00 μB per cell; calculated formation energy = 0.523 eV/atom; relative energy among the computed polymorphs = 0.228 eV per atom
1.0
-2.033 2.033 4.820
2.033 -2.033 4.820
2.033 2.033 -4.820
Cu Ru Pb
1 1 2
Direct
0.000 0.000 0.000
0.750 0.250 0.500
0.250 0.750 0.500
0.500 0.500 0.000

Cu2RuPb (PBE-GGA, optimized geometry); total magnetic moment = 0.00 μB per cell; calculated formation energy = 0.407 eV/atom
1.0
4.669 -1.561 0.000
4.669 1.561 0.000
-1.119 0.000 4.430
Cu Ru Pb
2 1 1
Direct
0.240 0.240 0.212
0.760 0.760 0.788
0.500 0.500 0.000
0.000 0.000 0.500

Cu3RuPb (PBE-GGA, optimized geometry); total magnetic moment = 0.00 μB per cell; calculated formation energy = 0.959 eV/atom; relative energy among the computed polymorphs = 0.000 eV per atom
1.0
4.679 0.000 0.000
0.000 4.679 0.000
0.000 0.000 4.679
Cu Ru Pb
3 1 1
Direct
0.000 0.000 0.500
0.000 0.500 0.000
0.500 0.000 0.000
0.000 0.000 0.000
0.500 0.500 0.500

CuRuPb2 (PBE-GGA, optimized geometry); total magnetic moment = 0.00 μB per cell; calculated formation energy = 0.725 eV/atom; relative energy among the computed polymorphs = 0.431 eV per atom
1.0
0.000 3.463 3.463
3.463 0.000 3.463
3.463 3.463 0.000
Cu Ru Pb
1 1 2
Direct
0.000 0.000 0.000
0.750 0.750 0.750
0.250 0.250 0.250
0.500 0.500 0.500

CuRuPb2 (PBE-GGA, optimized geometry); total magnetic moment = 0.00 μB per cell; calculated formation energy = 0.539 eV/atom; relative energy among the computed polymorphs = 0.244 eV per atom
1.0
4.362 -1.714 0.000
4.362 1.714 0.000
-1.175 0.000 5.459
Cu Ru Pb
1 1 2
Direct
0.000 0.000 0.000
0.500 0.500 0.500
0.245 0.245 0.744
0.755 0.755 0.256

Cu2RuPb (PBE-GGA, optimized geometry); total magnetic moment = 0.00 μB per cell; calculated formation energy = 0.436 eV/atom
1.0
3.242 0.000 0.000
0.000 3.565 0.000
0.000 0.000 5.620
Cu Ru Pb
2 1 1
Direct
0.000 0.000 0.213
0.000 0.000 0.787
0.500 0.500 0.000
0.500 0.500 0.500

Cu2RuPb (PBE-GGA, optimized geometry); total magnetic moment = 0.00 μB per cell; calculated formation energy = 0.313 eV/atom
1.0
3.918 0.000 0.000
0.000 3.918 0.000
0.000 0.000 4.041
Cu Ru Pb
2 1 1
Direct
0.000 0.500 0.000
0.500 0.000 0.000
0.000 0.000 0.500
0.500 0.500 0.500

Cu2RuPb (PBE-GGA, optimized geometry); total magnetic moment = 0.00 μB per cell; calculated formation energy = 0.397 eV/atom
1.0
3.304 0.000 0.000
0.000 3.304 0.000
0.000 0.000 5.841
Cu Ru Pb
2 1 1
Direct
0.000 0.000 0.000
0.500 0.500 0.191
0.500 0.500 0.752
0.000 0.000 0.491

Cu2RuPb (PBE-GGA, optimized geometry); total magnetic moment = 0.69 μB per cell; calculated formation energy = 0.600 eV/atom
1.0
1.495 0.863 8.818
-1.495 0.863 8.818
0.000 -1.727 8.818
Cu Ru Pb
2 1 1
Direct
0.241 0.241 0.241
0.759 0.759 0.759
0.500 0.500 0.500
0.000 0.000 0.000

CuRuPb2 (PBE-GGA, optimized geometry); total magnetic moment = 0.00 μB per cell; calculated formation energy = 0.729 eV/atom; relative energy among the computed polymorphs = 0.435 eV per atom
1.0
-3.743 3.743 3.099
3.743 -3.743 3.099
3.743 3.743 -3.099
Cu Ru Pb
2 2 4
Direct
0.000 0.000 0.000
0.750 0.250 0.500
0.250 0.750 0.500
0.500 0.500 0.000
0.123 0.625 0.998
0.375 0.373 0.498
0.627 0.125 0.002
0.875 0.877 0.502

CuRuPb2 (PBE-GGA, optimized geometry); total magnetic moment = 0.00 μB per cell; calculated formation energy = 0.294 eV/atom; relative energy among the computed polymorphs = 0.000 eV per atom
1.0
4.366 0.000 0.000
0.000 1.762 5.217
0.000 -1.762 5.217
Cu Ru Pb
1 1 2
Direct
0.000 0.000 0.000
0.500 0.851 0.851
0.000 0.275 0.275
0.500 0.570 0.570

CuRuPb2 (PBE-GGA, optimized geometry); total magnetic moment = 0.00 μB per cell; calculated formation energy = 0.519 eV/atom; relative energy among the computed polymorphs = 0.225 eV per atom
1.0
0.000 3.406 3.406
3.406 0.000 3.406
3.406 3.406 0.000
Cu Ru Pb
1 1 2
Direct
0.000 0.000 0.000
0.500 0.500 0.500
0.250 0.250 0.250
0.750 0.750 0.750

TbCuRuPb (PBE-GGA, optimized geometry); total magnetic moment = 0.00 μB per cell; calculated formation energy = -0.022 eV/atom
1.0
0.000 3.382 3.382
3.382 0.000 3.382
3.382 3.382 0.000
Tb Cu Ru Pb
1 1 1 1
Direct
0.000 0.000 0.000
0.250 0.250 0.250
0.750 0.750 0.750
0.500 0.500 0.500

TmCuRuPb (PBE-GGA, optimized geometry); total magnetic moment = 0.00 μB per cell; calculated formation energy = -0.045 eV/atom
1.0
0.000 3.349 3.349
3.349 0.000 3.349
3.349 3.349 0.000
Tm Cu Ru Pb
1 1 1 1
Direct
0.000 0.000 0.000
0.750 0.750 0.750
0.250 0.250 0.250
0.500 0.500 0.500

CuPbS6 (PBE-GGA, optimized geometry); total magnetic moment = 0.00 μB per cell; uncorrected formation energy = -0.019 eV per atom
1.0
4.381 0.000 0.000
-0.163 6.525 0.000
-2.034 -0.091 7.078
Cu Pb S
1 1 6
Direct
0.000 0.000 0.000
0.500 0.500 0.000
0.119 0.440 0.280
0.235 0.729 0.385
0.430 0.895 0.196
0.570 0.105 0.804
0.765 0.271 0.615
0.881 0.560 0.720

CuPb3S (PBE-GGA, optimized geometry); total magnetic moment = 0.00 μB per cell; relative energy among the computed polymorphs = 0.221 eV per atom; uncorrected formation energy = 0.495 eV per atom
1.0
5.513 0.000 0.000
0.000 5.513 0.000
0.000 0.000 5.513
Cu Pb S
1 3 1
Direct
0.000 0.000 0.000
0.000 0.500 0.500
0.500 0.000 0.500
0.500 0.500 0.000
0.500 0.500 0.500